No. 1
First-principles (PBE) data for PrNd6Cd2 after structural relaxation, as listed in Alexandria.

Geometry as extended XYZ:
```
18
Lattice="6.247 -0.242 -0.234 1.301 9.715 1.229 1.301 1.544 9.670" Properties=species:S:1:pos:R:3 pbc="T T T"
Pr 2.863 2.360 8.705
Pr 5.986 8.656 1.960
Nd 4.516 7.150 4.937
Nd 1.209 5.971 3.796
Nd 4.333 3.866 5.728
Nd 7.640 5.046 6.869
Nd 4.747 1.366 3.384
Nd 7.226 7.469 9.293
Nd 4.102 9.651 7.281
Nd 1.623 3.548 1.372
Nd 2.926 7.085 1.123
Nd 2.800 9.785 3.737
Nd 5.923 3.931 9.542
Nd 6.050 1.231 6.928
Cd 4.261 6.345 8.203
Cd 1.464 2.733 4.706
Cd 4.588 4.672 2.462
Cd 7.385 8.284 5.959
```

Calculated values
The relative energy among the computed polymorphs comes out at 0.0631 eV per atom. The calculation puts the density at 7.0 g cm⁻³. The calculation puts the density of states at the Fermi level at 23.34 states/eV per cell. For the formation energy, the calculation gives -0.070 eV/atom. As for the space group: No. 15.


No. 2
First-principles (PBE) data for PrNdCd2 after structural relaxation, as listed in Alexandria.

Geometry as extended XYZ:
```
4
Lattice="-3.870 -1.611 -3.521 -0.858 -5.336 -0.871 -4.570 -2.376 1.854" Properties=species:S:1:pos:R:3 pbc="T T T"
Pr 0.000 0.000 0.000
Nd -4.649 -4.661 -1.269
Cd -2.324 -2.331 -0.634
Cd -6.973 -6.992 -1.903
```

Calculated values
The relative energy among the computed polymorphs comes out at 0.0000 eV per atom. The calculation puts the density at 7.3 g cm⁻³. The calculation puts the density of states at the Fermi level at 4.33 states/eV per cell. For the formation energy, the calculation gives -0.321 eV/atom. As for the space group: No. 225.


No. 3
First-principles (PBE) data for PrNd8Cd2 after structural relaxation, as listed in Alexandria.

Geometry as extended XYZ:
```
11
Lattice="5.190 0.000 -1.676 -1.207 7.603 -3.739 0.031 0.444 8.971" Properties=species:S:1:pos:R:3 pbc="T T T"
Pr 2.595 0.000 -0.838
Nd 2.567 3.658 -0.924
Nd 1.585 0.605 4.908
Nd 0.541 1.725 1.676
Nd -0.613 5.654 -1.898
Nd 3.472 6.322 1.880
Nd 2.429 7.442 -1.352
Nd 1.447 4.389 4.480
Nd 4.626 2.393 5.454
Cd 0.402 4.996 1.245
Cd 3.612 3.051 2.311
```

Calculated values
The relative energy among the computed polymorphs comes out at 0.0000 eV per atom. The calculation puts the density at 6.9 g cm⁻³. The calculation puts the density of states at the Fermi level at 15.27 states/eV per cell. For the formation energy, the calculation gives -0.074 eV/atom. As for the space group: No. 12.


No. 4
First-principles (PBE) data for Pr3Nd5Cd2 after structural relaxation, as listed in Alexandria.

Geometry as extended XYZ:
```
20
Lattice="-0.527 6.715 1.080 -1.138 1.688 10.499 9.837 4.181 0.355" Properties=species:S:1:pos:R:3 pbc="T T T"
Pr -0.132 1.679 0.270
Pr -0.396 5.037 0.810
Pr 8.324 6.850 4.568
Pr -0.152 5.734 7.367
Pr 2.123 8.859 10.596
Pr 6.050 3.725 1.339
Nd 4.218 4.613 5.697
Nd 3.954 7.971 6.237
Nd 6.212 7.763 8.629
Nd 1.697 8.178 3.846
Nd 1.961 4.820 3.306
Nd 6.476 4.406 8.089
Nd 1.564 2.598 6.158
Nd 6.609 9.986 5.776
Nd 5.013 6.799 3.267
Nd 3.159 5.785 8.668
Cd -0.829 2.146 7.796
Cd 9.002 10.437 4.138
Cd 6.827 7.303 1.016
Cd 1.345 5.280 10.919
```

Calculated values
The calculation puts the density at 6.5 g cm⁻³. The calculation puts the density of states at the Fermi level at 29.48 states/eV per cell. For the formation energy, the calculation gives 0.122 eV/atom. As for the space group: No. 72.


No. 5
First-principles (PBE) data for Pr2Nd3Cd4 after structural relaxation, as listed in Alexandria.

Geometry as extended XYZ:
```
18
Lattice="6.921 0.000 0.011 0.000 8.402 0.000 -3.446 0.000 9.581" Properties=species:S:1:pos:R:3 pbc="T T T"
Pr 0.002 5.015 1.731
Pr 3.473 3.387 7.860
Pr 0.012 0.815 7.855
Pr 3.463 7.587 1.737
Nd 0.000 0.000 0.000
Nd 3.461 4.201 0.005
Nd 1.733 6.305 4.827
Nd 5.203 2.104 4.770
Nd 1.742 2.097 4.765
Nd -1.727 6.298 4.821
Cd 1.746 6.302 8.105
Cd 5.190 2.101 1.491
Cd 1.729 2.100 1.486
Cd -1.715 6.301 8.100
Cd 0.003 8.314 3.067
Cd 3.472 0.089 6.524
Cd 0.012 4.113 6.519
Cd 3.464 4.290 3.072
```

Calculated values
The calculation puts the density at 6.9 g cm⁻³. The calculation puts the density of states at the Fermi level at 22.24 states/eV per cell. For the formation energy, the calculation gives -0.152 eV/atom. As for the space group: No. 14.


No. 6
First-principles (PBE) data for Pr8Nd3Cd after structural relaxation, as listed in Alexandria.

Geometry as extended XYZ:
```
12
Lattice="5.578 0.000 -1.643 0.100 10.068 0.339 -0.702 5.194 7.910" Properties=species:S:1:pos:R:3 pbc="T T T"
Pr 1.595 13.123 5.415
Pr 0.557 3.788 1.891
Pr 4.845 12.054 6.159
Pr 0.983 7.149 3.337
Pr 4.384 8.576 4.595
Pr 0.375 10.280 1.274
Pr 2.901 4.794 -0.440
Pr 3.766 11.686 2.498
Nd 1.918 6.409 6.516
Nd 4.027 5.104 3.383
Nd 3.309 8.219 0.943
Cd 1.287 10.136 4.372
```

Calculated values
The calculation puts the density at 6.6 g cm⁻³. The calculation puts the density of states at the Fermi level at 18.27 states/eV per cell. For the formation energy, the calculation gives 0.000 eV/atom. As for the space group: No. 8.


No. 7
First-principles (PBE) data for Pr8NdCd2 after structural relaxation, as listed in Alexandria.

Geometry as extended XYZ:
```
11
Lattice="0.221 -5.405 0.906 8.159 -0.124 -2.727 -0.995 4.086 8.010" Properties=species:S:1:pos:R:3 pbc="T T T"
Pr 3.753 -2.476 0.917
Pr -0.199 0.857 5.161
Pr 1.430 0.390 1.977
Pr 5.931 0.053 -1.133
Pr 5.954 -1.833 4.213
Pr 7.583 -2.300 1.028
Pr 3.632 1.033 5.272
Pr 1.454 -1.495 7.323
Nd 0.111 -2.702 0.453
Cd 4.756 0.534 2.024
Cd 2.628 -1.977 4.165
```

Calculated values
The relative energy among the computed polymorphs comes out at 0.0000 eV per atom. The calculation puts the density at 6.7 g cm⁻³. The calculation puts the density of states at the Fermi level at 15.34 states/eV per cell. For the formation energy, the calculation gives -0.075 eV/atom. As for the space group: No. 12.


No. 8
First-principles (PBE) data for PrNd2Cd3 after structural relaxation, as listed in Alexandria.

Geometry as extended XYZ:
```
6
Lattice="-1.579 4.829 -2.017 1.357 -4.067 -3.391 -6.358 -2.093 -0.034" Properties=species:S:1:pos:R:3 pbc="T T T"
Pr 0.000 0.000 0.000
Nd -2.726 1.164 -2.487
Nd -3.854 -2.495 -2.956
Cd -3.179 -1.047 -0.017
Cd -5.891 0.122 -2.504
Cd -0.689 -1.453 -2.939
```

Calculated values
The relative energy among the computed polymorphs comes out at 0.0000 eV per atom. The calculation puts the density at 7.3 g cm⁻³. The calculation puts the density of states at the Fermi level at 6.58 states/eV per cell. For the formation energy, the calculation gives -0.320 eV/atom. As for the space group: No. 164.


No. 9
First-principles (PBE) data for Pr6NdCd after structural relaxation, as listed in Alexandria.

Geometry as extended XYZ:
```
8
Lattice="-2.350 -4.503 0.255 2.203 -1.398 -4.366 8.035 -6.879 3.293" Properties=species:S:1:pos:R:3 pbc="T T T"
Pr 3.928 -7.876 -1.422
Pr 4.895 -8.179 2.125
Pr 7.172 -6.626 -0.186
Pr 2.992 -4.601 -2.943
Pr 3.959 -4.904 0.605
Pr 0.716 -6.154 -0.632
Nd -0.074 -2.951 -2.055
Cd 0.000 0.000 0.000
```

Calculated values
The relative energy among the computed polymorphs comes out at 0.0000 eV per atom. The calculation puts the density at 6.8 g cm⁻³. The calculation puts the density of states at the Fermi level at 11.28 states/eV per cell. For the formation energy, the calculation gives -0.036 eV/atom. As for the space group: No. 139.


No. 10
First-principles (PBE) data for PrNd2Cd3 after structural relaxation, as listed in Alexandria.

Geometry as extended XYZ:
```
6
Lattice="-0.497 -1.593 3.482 3.495 -1.624 -0.245 4.719 9.406 4.976" Properties=species:S:1:pos:R:3 pbc="T T T"
Pr 3.859 3.095 4.107
Nd 5.436 6.239 5.770
Nd 2.281 -0.050 2.443
Cd 0.000 0.000 0.000
Cd 3.158 6.295 3.330
Cd 1.561 3.111 1.646
```

Calculated values
The relative energy among the computed polymorphs comes out at 0.0034 eV per atom. The calculation puts the density at 7.3 g cm⁻³. The calculation puts the density of states at the Fermi level at 7.51 states/eV per cell. For the formation energy, the calculation gives -0.317 eV/atom. As for the space group: No. 123.